The following is a PBE-GGA calculation of Be3SiC after structural relaxation, from the Alexandria database.

a b c (Å): 4.1368 4.1368 4.1368
angles (deg): 90.00 90.00 90.00
Each line ends with the local moment (μB).
Sites, in units of the cell vectors:
Be: 0.0000 0.5000 0.0000  0.01
Be: 0.0000 0.0000 0.5000  0.01
Be: 0.5000 0.0000 0.0000  0.02
C: 0.5000 0.5000 0.5000  0.69
Si: 0.0000 0.0000 0.0000  0.10

Computed properties:
D(E_F) ... 3.05 states/eV per cell
Raw formation energy ... 1.8931 eV per atom
Distance to the lowest polymorph of the same formula ... 1462 meV per atom
M_tot ... 0.339 μB per atom

=====

The following is a PBE-GGA calculation of Pr9AlSn2 after structural relaxation, from the Alexandria database.

a b c (Å): 4.9776 4.9776 14.9212
angles (deg): 90.00 90.00 90.00
Sites, in units of the cell vectors:
Pr: 0.5000 0.0000 0.5000
Pr: 0.5000 0.5000 0.0000
Pr: 0.5000 0.0000 0.8356
Pr: 0.0000 0.5000 0.5000
Pr: 0.5000 0.5000 0.3324
Pr: 0.5000 0.0000 0.1644
Pr: 0.0000 0.5000 0.8356
Pr: 0.0000 0.5000 0.1644
Pr: 0.5000 0.5000 0.6676
Sn: 0.0000 0.0000 0.3316
Sn: 0.0000 0.0000 0.6684
Al: 0.0000 0.0000 0.0000

Computed properties:
D(E_F) ... 13.84 states/eV per cell
M_tot ... 0.000 μB per atom

=====

The following is a PBE-GGA calculation of CaAcSe2 after structural relaxation, from the Alexandria database.

a b c (Å): 4.2186 4.2186 8.0546
angles (deg): 74.82 74.82 60.00
Sites, in units of the cell vectors:
Ac: 0.6688 0.6688 0.9937
Se: 0.2462 0.2462 0.2613
Se: 0.0888 0.0888 0.7335
Ca: 0.4962 0.4962 0.5115

Computed properties:
D(E_F) ... 2.22 states/eV per cell
Raw formation energy ... -1.8045 eV per atom
Distance to the lowest polymorph of the same formula ... 102 meV per atom
M_tot ... 0.000 μB per atom

=====

The following is a PBE-GGA calculation of La2MgTl after structural relaxation, from the Alexandria database.

a b c (Å): 3.6593 4.7735 6.9387
angles (deg): 90.00 90.00 90.00
Sites, in units of the cell vectors:
La: 0.5000 0.5000 0.2506
La: 0.0000 0.0000 0.0019
Tl: 0.5000 0.5000 0.7412
Mg: 0.0000 0.0000 0.5063

Computed properties:
D(E_F) ... 4.02 states/eV per cell
Distance to the lowest polymorph of the same formula ... 159 meV per atom
M_tot ... 0.000 μB per atom

=====

The following is a PBE-GGA calculation of P2WSe after structural relaxation, from the Alexandria database.

a b c (Å): 4.6459 4.4881 4.0889
angles (deg): 72.77 72.08 112.17
Each line ends with the local moment (μB).
Sites, in units of the cell vectors:
Se: 0.0000 0.5000 0.5000  0.00
P: 0.0000 0.0000 0.0000  -0.01
P: 0.5000 0.0000 0.5000  -0.01
W: 0.5000 0.5000 0.0000  0.24

Computed properties:
D(E_F) ... 3.03 states/eV per cell
Raw formation energy ... 0.5210 eV per atom
M_tot ... 0.072 μB per atom

=====

The following is a PBE-GGA calculation of KSc2Os after structural relaxation, from the Alexandria database.

a b c (Å): 5.7726 5.7726 5.7726
angles (deg): 137.64 137.64 61.46
Sites, in units of the cell vectors:
Sc: 0.2500 0.7500 0.5000
Sc: 0.0000 0.0000 0.0000
K: 0.5000 0.5000 0.0000
Os: 0.7500 0.2500 0.5000

Computed properties:
D(E_F) ... 4.36 states/eV per cell
Distance to the lowest polymorph of the same formula ... 897 meV per atom
M_tot ... 0.000 μB per atom

=====

The following is a PBE-GGA calculation of Ca6InHg after structural relaxation, from the Alexandria database.

a b c (Å): 5.4986 5.4987 10.0685
angles (deg): 74.15 74.15 90.00
Sites, in units of the cell vectors:
Ca: 0.5982 0.0982 0.8036
Ca: 0.9018 0.4018 0.1964
Ca: 0.0982 0.5982 0.8036
Ca: 0.2517 0.2517 0.4966
Ca: 0.4018 0.9018 0.1964
Ca: 0.7483 0.7483 0.5034
Hg: 0.0000 0.0000 0.0000
In: 0.5000 0.5000 0.0000

Computed properties:
D(E_F) ... 5.27 states/eV per cell
M_tot ... 0.000 μB per atom

=====

The following is a PBE-GGA calculation of Tb2Y4Er5 after structural relaxation, from the Alexandria database.

a b c (Å): 3.6445 9.8583 12.6187
angles (deg): 123.69 81.72 111.71
Sites, in units of the cell vectors:
Y: 0.6742 0.6466 0.9450
Y: 0.7540 0.4255 0.3426
Y: 0.2460 0.5745 0.6574
Y: 0.3258 0.3534 0.0550
Er: 0.0780 0.9604 0.7642
Er: 0.5791 0.8294 0.4996
Er: 0.4209 0.1706 0.5004
Er: 0.9220 0.0396 0.2358
Er: 0.5000 0.0000 0.0000
Tb: 0.8904 0.2746 0.7689
Tb: 0.1096 0.7254 0.2311

Computed properties:
D(E_F) ... 17.89 states/eV per cell
Distance to the lowest polymorph of the same formula ... 0 meV per atom
M_tot ... 0.000 μB per atom

=====

Calculated total energy, -3.27 -4.92 -5.07 -3.58 -6.29 -5.43 -2.15 -5.21 eV/atom (same order as the records).